<1>
VASP calculation (PBE) on an optimized crystal structure of Ba2MgCl6.

Cell lengths 6.7654, 6.7654, 13.2881 Å; angles 90.00, 90.00, 90.00 degrees
Closest atoms and distances in Å follow each position.
Fractional positions:
Ba: 0.0000 0.0000 0.1662  6 Cl 3.07-3.11
Ba: 0.0000 0.0000 0.8338  6 Cl 3.07-3.11
Ba: 0.5000 0.5000 0.3338  6 Cl 3.07-3.11
Ba: 0.5000 0.5000 0.6662  6 Cl 3.07-3.11
Mg: 0.0000 0.0000 0.5000  6 Cl 2.55-2.60
Mg: 0.5000 0.5000 0.0000  6 Cl 2.55-2.60
Cl: 0.1807 0.1807 0.3593  1 Mg 2.55
Cl: 0.1807 0.1807 0.6407  1 Mg 2.55
Cl: 0.2285 0.2285 0.0000  1 Mg 2.60
Cl: 0.2715 0.7285 0.5000  1 Mg 2.60
Cl: 0.3193 0.6807 0.1407  1 Mg 2.55
Cl: 0.3193 0.6807 0.8593  1 Mg 2.55
Cl: 0.6807 0.3193 0.1407  1 Mg 2.55
Cl: 0.6807 0.3193 0.8593  1 Mg 2.55
Cl: 0.7285 0.2715 0.5000  1 Mg 2.60
Cl: 0.7715 0.7715 0.0000  1 Mg 2.60
Cl: 0.8193 0.8193 0.3593  1 Mg 2.55
Cl: 0.8193 0.8193 0.6407  1 Mg 2.55

## Properties
The total magnetization comes out at 0.00 μB per cell.

***

<2>
VASP calculation (PBE) on an optimized crystal structure of Ba2MgCl6.

Cell lengths 6.8534, 8.0306, 11.6373 Å; angles 90.00, 123.59, 90.00 degrees
Closest atoms and distances in Å follow each position.
Fractional positions:
Ba: 0.2202 0.1038 0.2563  8 Cl 3.11-3.34
Ba: 0.2202 0.3962 0.7563  8 Cl 3.11-3.34
Ba: 0.7798 0.6038 0.2437  8 Cl 3.11-3.34
Ba: 0.7798 0.8962 0.7437  8 Cl 3.11-3.34
Mg: 0.5000 0.0000 0.0000  6 Cl 2.48-2.59
Mg: 0.5000 0.5000 0.5000  6 Cl 2.48-2.59
Cl: 0.1438 0.1565 0.9519  1 Mg 2.52
Cl: 0.1438 0.3435 0.4519  1 Mg 2.52
Cl: 0.2922 0.7139 0.9460  1 Mg 2.59
Cl: 0.2922 0.7861 0.4460  1 Mg 2.59
Cl: 0.3569 0.0281 0.7534  1 Mg 2.48
Cl: 0.3569 0.4719 0.2534  1 Mg 2.48
Cl: 0.6431 0.5281 0.7466  1 Mg 2.48
Cl: 0.6431 0.9719 0.2466  1 Mg 2.48
Cl: 0.7078 0.2139 0.5540  1 Mg 2.59
Cl: 0.7078 0.2861 0.0540  1 Mg 2.59
Cl: 0.8562 0.6565 0.5481  1 Mg 2.52
Cl: 0.8562 0.8435 0.0481  1 Mg 2.52

## Properties
The total magnetization comes out at 0.00 μB per cell.

***

What should be chosen as the most stable of them? Choose <2>.

***

<1>
VASP calculation (PBE) on an optimized crystal structure of BaMgP2Cl.

Cell lengths 6.2731, 6.2731, 5.8114 Å; angles 90.00, 90.00, 90.00 degrees
Closest atoms and distances in Å follow each position.
Fractional positions:
Ba: 0.0000 0.0000 0.0000  2 Cl 2.91, 4 P 3.14
Mg: 0.5000 0.5000 0.5000  8 P 4.28, 4 Cl 4.44
P: 0.0000 0.5000 0.0000  2 Ba 3.14
P: 0.5000 0.0000 0.0000  2 Ba 3.14
Cl: 0.0000 0.0000 0.5000  2 Ba 2.91

## Properties
The total magnetization comes out at 3.72 μB per cell.

***

<2>
VASP calculation (PBE) on an optimized crystal structure of BaMgP2Cl.

Cell lengths 4.8528, 4.8528, 5.5099 Å; angles 90.00, 90.00, 90.00 degrees
Closest atoms and distances in Å follow each position.
Fractional positions:
Ba: 0.0000 0.0000 0.0000  4 Cl 3.43, 8 P 3.67
Mg: 0.5000 0.5000 0.5000  4 P 2.43
P: 0.0000 0.5000 0.5000  2 Mg 2.43
P: 0.5000 0.0000 0.5000  2 Mg 2.43
Cl: 0.5000 0.5000 0.0000  2 Mg 2.75

## Properties
The total magnetization comes out at 0.41 μB per cell.

***

What should be chosen as the most stable of them? Choose <2>.